CrReNi | PBE | optimized geometry

- offset from the most stable computed form (kJ/mol of atoms) = 13.2
- DFT formation energy (meV per atom) = 198.6
- space-group type = C2/m

```
CrReNi
1.0
4.296 -1.265 0.000
4.296 1.265 0.000
-0.416 0.000 7.110
Cr Re Ni
2 2 2
Direct
0.140 0.140 0.096 Cr
0.860 0.860 0.904 Cr
0.106 0.106 0.739 Re
0.894 0.894 0.261 Re
0.368 0.368 0.580 Ni
0.632 0.632 0.420 Ni
```


Dy3HfTl3Se8 | PBE | optimized geometry

- space-group type = R-3m
- formation energy from raw total energies (eV per atom) = -1.3780

```
Dy3HfTl3Se8
1.0
4.091 2.362 7.877
-4.091 2.362 7.877
0.000 -4.724 7.877
Dy Hf Tl Se
3 1 3 8
Direct
0.000 0.500 0.500 Dy
0.500 0.000 0.500 Dy
0.500 0.500 0.000 Dy
0.000 0.000 0.000 Hf
0.000 0.000 0.500 Tl
0.000 0.500 0.000 Tl
0.500 0.000 0.000 Tl
0.224 0.224 0.750 Se
0.224 0.750 0.224 Se
0.250 0.776 0.776 Se
0.265 0.265 0.265 Se
0.735 0.735 0.735 Se
0.750 0.224 0.224 Se
0.776 0.250 0.776 Se
0.776 0.776 0.250 Se
```


TmTaRu2 | PBE | optimized geometry

- DFT formation energy (meV per atom) = -458.2
- space-group type = Fm-3m

```
TmTaRu2
1.0
0.000 3.248 3.248
3.248 0.000 3.248
3.248 3.248 0.000
Tm Ta Ru
1 1 2
Direct
0.000 0.000 0.000 Tm
0.500 0.500 0.500 Ta
0.250 0.250 0.250 Ru
0.750 0.750 0.750 Ru
```


TiSi2Mo | PBE | optimized geometry

- offset from the most stable computed form (kJ/mol of atoms) = 0.0
- space-group type = Fm-3m
- formation energy from raw total energies (eV per atom) = -0.2561

```
TiSi2Mo
1.0
0.000 3.070 3.070
3.070 0.000 3.070
3.070 3.070 0.000
Ti Si Mo
1 2 1
Direct
0.000 0.000 0.000 Ti
0.250 0.250 0.250 Si
0.750 0.750 0.750 Si
0.500 0.500 0.500 Mo
```


PaMnTl2Se5 | PBE | optimized geometry

- space-group type = Cmc2_1
- formation energy from raw total energies (eV per atom) = -0.7449

```
PaMnTl2Se5
1.0
2.090 -9.319 0.000
2.090 9.319 0.000
0.000 0.000 14.114
Pa Mn Tl Se
2 2 4 10
Direct
0.209 0.791 0.500 Pa
0.791 0.209 0.000 Pa
0.433 0.567 0.899 Mn
0.567 0.433 0.399 Mn
0.103 0.897 0.133 Tl
0.118 0.882 0.804 Tl
0.882 0.118 0.304 Tl
0.897 0.103 0.633 Tl
0.056 0.944 0.495 Se
0.288 0.712 0.130 Se
0.301 0.699 0.864 Se
0.353 0.647 0.475 Se
0.493 0.507 0.754 Se
0.507 0.493 0.254 Se
0.647 0.353 0.975 Se
0.699 0.301 0.364 Se
0.712 0.288 0.630 Se
0.944 0.056 0.995 Se
```


HgOsPb | PBE | optimized geometry

- offset from the most stable computed form (kJ/mol of atoms) = 4.2
- DFT formation energy (meV per atom) = 870.3
- space-group type = I4mm

```
HgOsPb
1.0
-1.600 1.600 6.493
1.600 -1.600 6.493
1.600 1.600 -6.493
Hg Os Pb
1 1 1
Direct
0.000 0.000 0.000 Hg
0.364 0.364 0.000 Os
0.722 0.722 0.000 Pb
```